# CsNaPdSe3

A relaxed structure of CsNaPdSe3 (PBE, the Open Quantum Materials Database).

Summary:
E, eV/atom: -3.503

Lattice parameters (Å, degrees): 3.9969 15.7767 10.5246 90.00 90.00 90.00
Last column: nearest neighbours and their distance in Å.
Space group Cmcm (No. 63)
Asymmetric unit:
Cs (0.0000, 0.2430, 0.2500) (multiplicity 4)  8 Se 3.55-3.93, 2 Na 3.74
Na (0.0000, 0.4577, 0.7500) (multiplicity 4)  4 Se 2.68-2.75
Pd (0.0000, 0.0000, 0.0000) (multiplicity 4)  6 Se 2.58-2.86
Se (0.0000, 0.0708, 0.7500) (multiplicity 4)  2 Na 2.68, 2 Pd 2.86
Se (0.0000, 0.3962, 0.5055) (multiplicity 8)  2 Pd 2.58, 1 Na 2.75